Record 1
This record from Alexandria describes a geometry-optimized RbCuW structure. The functional is PBE-GGA.

total DFT energy (no corrections) = -15.93 eV/f.u.
energy relative to the elements = 0.697 eV per atom
offset from the most stable computed form = 1 kJ/mol of formula units
SG = P1 (1)

Unit cell a=4.331 b=4.332 c=12.256 alpha=99.65 beta=90.44 gamma=119.99
Element x y z (fractional)
Rb: 0.000 0.000 0.000
Rb: 0.210 0.394 0.605
Cu: 0.736 0.463 0.198
Cu: 0.808 0.598 0.407
W: 0.105 0.197 0.303
W: 0.438 0.864 0.303

=====

Record 2
This record from Alexandria describes a geometry-optimized LaNd4Hg5 structure. The functional is PBE-GGA.

total DFT energy (no corrections) = -30.28 eV/f.u.
energy relative to the elements = -0.478 eV per atom
SG = P4/mmm (123)

Unit cell a=3.857 b=3.857 c=19.225 alpha=90.00 beta=90.00 gamma=90.00
Element x y z (fractional)
La: 0.000 0.000 0.000
Nd: 0.000 0.000 0.203
Nd: 0.000 0.000 0.401
Nd: 0.000 0.000 0.599
Nd: 0.000 0.000 0.797
Hg: 0.500 0.500 0.105
Hg: 0.500 0.500 0.302
Hg: 0.500 0.500 0.500
Hg: 0.500 0.500 0.698
Hg: 0.500 0.500 0.895